Computed, not measured: a crystal of Cr2ReRu relaxed with PBEsol at the SCAN level of DFT.

Calculated values
uncorrected energy: -35.509 eV/atom
D(E_F): 1.029 states/eV/atom
ΔH_f (0 K): 0.164 eV/atom

abc: 4.846 4.846 4.846
angles: 144.57 127.80 64.67
Sites, in units of the cell vectors:
Cr (0.239, 0.239, 0.000)
Cr (0.761, 0.761, 0.000)
Re (0.000, 0.500, 0.500)
Ru (0.500, 0.000, 0.500)

---

Computed, not measured: a crystal of RbAgSCl2 relaxed with PBEsol at the SCAN level of DFT.

Calculated values
uncorrected energy: -15.264 eV/atom
formation energy without anion corrections: 1.37 eV/f.u.
D(E_F): 1.121 states/eV/atom

abc: 5.882 5.882 5.770
angles: 90.00 90.00 90.00
Sites, in units of the cell vectors:
Rb (0.000, 0.000, 0.000)
Ag (0.500, 0.500, 0.500)
S (0.000, 0.000, 0.500)
Cl (0.000, 0.500, 0.000)
Cl (0.500, 0.000, 0.000)

---

Computed, not measured: a crystal of Zn5Ir3 relaxed with PBEsol at the SCAN level of DFT.

Calculated values
uncorrected energy: -35.313 eV/atom
D(E_F): 0.340 states/eV/atom
ΔH_f (0 K): -0.204 eV/atom

abc: 5.217 5.217 3.978
angles: 90.00 90.00 91.79
Sites, in units of the cell vectors:
Zn (0.000, 0.000, 0.000)
Zn (0.000, 0.500, 0.000)
Zn (0.276, 0.276, 0.500)
Zn (0.500, 0.000, 0.000)
Zn (0.724, 0.724, 0.500)
Ir (0.219, 0.781, 0.500)
Ir (0.500, 0.500, 0.000)
Ir (0.781, 0.219, 0.500)

---

Computed, not measured: a crystal of BeMoOs4 relaxed with PBEsol at the SCAN level of DFT.

Calculated values
uncorrected energy: -53.825 eV/atom
D(E_F): 0.910 states/eV/atom
ΔH_f (0 K): 0.634 eV/atom

abc: 5.040 5.040 5.040
angles: 60.00 60.00 60.00
Sites, in units of the cell vectors:
Be (0.000, 0.000, 0.000)
Mo (0.250, 0.250, 0.250)
Os (0.123, 0.626, 0.626)
Os (0.626, 0.123, 0.626)
Os (0.626, 0.626, 0.123)
Os (0.626, 0.626, 0.626)

---

Computed, not measured: a crystal of Li4Mn5O10 relaxed with PBEsol at the SCAN level of DFT.

Calculated values
uncorrected energy: -10.771 eV/atom
formation energy without anion corrections: -41.50 eV/f.u.
D(E_F): 0.292 states/eV/atom

abc: 4.836 5.071 7.388
angles: 101.77 109.10 99.32
Sites, in units of the cell vectors:
Li (0.097, 0.499, 0.189)
Li (0.306, 0.501, 0.615)
Li (0.694, 0.499, 0.385)
Li (0.903, 0.501, 0.811)
Mn (0.098, 0.003, 0.701)
Mn (0.305, 0.003, 0.099)
Mn (0.500, 0.000, 0.500)
Mn (0.695, 0.997, 0.901)
Mn (0.902, 0.997, 0.299)
O (0.084, 0.219, 0.943)
O (0.108, 0.773, 0.457)
O (0.296, 0.227, 0.345)
O (0.299, 0.780, 0.853)
O (0.492, 0.218, 0.742)
O (0.508, 0.782, 0.258)
O (0.701, 0.220, 0.147)
O (0.704, 0.773, 0.655)
O (0.892, 0.227, 0.543)
O (0.916, 0.781, 0.057)

---

Computed, not measured: a crystal of ZnCuIr2 relaxed with PBEsol at the SCAN level of DFT.

Calculated values
uncorrected energy: -42.759 eV/atom
D(E_F): 0.699 states/eV/atom
ΔH_f (0 K): -0.031 eV/atom

abc: 4.605 4.605 4.523
angles: 99.68 99.68 34.53
Sites, in units of the cell vectors:
Zn (0.000, 0.000, 0.000)
Cu (0.247, 0.247, 0.789)
Ir (0.496, 0.496, 0.503)
Ir (0.751, 0.751, 0.293)

---

Computed, not measured: a crystal of ZrScOs relaxed with PBEsol at the SCAN level of DFT.

Calculated values
uncorrected energy: -38.974 eV/atom
D(E_F): 0.796 states/eV/atom
ΔH_f (0 K): -0.036 eV/atom

abc: 3.128 3.128 6.787
angles: 90.00 90.00 120.00
Sites, in units of the cell vectors:
Zr (0.000, 0.000, 0.000)
Sc (0.667, 0.333, 0.408)
Os (0.333, 0.667, 0.703)

---

Computed, not measured: a crystal of ZrCrO4 relaxed with PBEsol at the SCAN level of DFT.

Calculated values
uncorrected energy: -15.274 eV/atom
formation energy without anion corrections: -17.63 eV/f.u.
D(E_F): 0.043 states/eV/atom

abc: 4.692 11.535 4.844
angles: 90.00 90.00 90.00
Sites, in units of the cell vectors:
Zr (0.000, 0.171, 0.250)
Zr (0.000, 0.829, 0.750)
Zr (0.500, 0.329, 0.750)
Zr (0.500, 0.671, 0.250)
Cr (0.000, 0.435, 0.250)
Cr (0.000, 0.565, 0.750)
Cr (0.500, 0.065, 0.750)
Cr (0.500, 0.935, 0.250)
O (0.222, 0.316, 0.091)
O (0.222, 0.684, 0.591)
O (0.225, 0.448, 0.570)
O (0.225, 0.552, 0.070)
O (0.275, 0.052, 0.070)
O (0.275, 0.948, 0.570)
O (0.278, 0.184, 0.591)
O (0.278, 0.816, 0.091)
O (0.722, 0.184, 0.909)
O (0.722, 0.816, 0.409)
O (0.725, 0.052, 0.430)
O (0.725, 0.948, 0.930)
O (0.775, 0.448, 0.930)
O (0.775, 0.552, 0.430)
O (0.778, 0.316, 0.409)
O (0.778, 0.684, 0.909)

---

Computed, not measured: a crystal of ScZnSi2 relaxed with PBEsol at the SCAN level of DFT.

Calculated values
uncorrected energy: -11.977 eV/atom
formation energy without anion corrections: -0.13 eV/f.u.
D(E_F): 0.465 states/eV/atom

abc: 5.676 5.676 5.676
angles: 103.16 103.16 123.01
Sites, in units of the cell vectors:
Sc (0.000, 0.000, 0.000)
Sc (0.750, 0.250, 0.500)
Zn (0.250, 0.750, 0.500)
Zn (0.500, 0.500, 0.000)
Si (0.165, 0.125, 0.540)
Si (0.375, 0.835, 0.960)
Si (0.585, 0.625, 0.460)
Si (0.875, 0.415, 0.040)

---

Computed, not measured: a crystal of LaSc2Cl2 relaxed with PBEsol at the SCAN level of DFT.

Calculated values
uncorrected energy: -18.352 eV/atom
formation energy without anion corrections: -4.22 eV/f.u.
D(E_F): 0.923 states/eV/atom

abc: 7.258 7.258 7.258
angles: 148.35 148.35 45.37
Sites, in units of the cell vectors:
La (0.000, 0.000, 0.000)
Sc (0.250, 0.750, 0.500)
Sc (0.750, 0.250, 0.500)
Cl (0.389, 0.389, 0.000)
Cl (0.611, 0.611, 0.000)

---

Computed, not measured: a crystal of MnBeNO2 relaxed with PBEsol at the SCAN level of DFT.

Calculated values
uncorrected energy: -9.181 eV/atom
formation energy without anion corrections: -1.54 eV/f.u.
D(E_F): 0.170 states/eV/atom

abc: 3.695 3.695 3.490
angles: 90.00 90.00 90.00
Sites, in units of the cell vectors:
Mn (0.000, 0.000, 0.000)
Be (0.500, 0.500, 0.500)
N (0.000, 0.000, 0.500)
O (0.000, 0.500, 0.000)
O (0.500, 0.000, 0.000)

---

Computed, not measured: a crystal of YAl10Fe2 relaxed with PBEsol at the SCAN level of DFT.

Calculated values
uncorrected energy: -11.236 eV/atom
D(E_F): 0.377 states/eV/atom
ΔH_f (0 K): -0.343 eV/atom

abc: 6.702 6.702 8.891
angles: 90.00 90.00 97.29
Sites, in units of the cell vectors:
Y (0.126, 0.874, 0.750)
Y (0.874, 0.126, 0.250)
Al (0.133, 0.415, 0.750)
Al (0.158, 0.842, 0.097)
Al (0.158, 0.842, 0.403)
Al (0.220, 0.478, 0.250)
Al (0.227, 0.227, 0.000)
Al (0.227, 0.227, 0.500)
Al (0.375, 0.625, 0.550)
Al (0.375, 0.625, 0.950)
Al (0.415, 0.133, 0.250)
Al (0.478, 0.220, 0.750)
Al (0.522, 0.780, 0.250)
Al (0.585, 0.867, 0.750)
Al (0.625, 0.375, 0.050)
Al (0.625, 0.375, 0.450)
Al (0.773, 0.773, 0.000)
Al (0.773, 0.773, 0.500)
Al (0.780, 0.522, 0.750)
Al (0.842, 0.158, 0.597)
Al (0.842, 0.158, 0.903)
Al (0.867, 0.585, 0.250)
Fe (0.000, 0.500, 0.000)
Fe (0.000, 0.500, 0.500)
Fe (0.500, 0.000, 0.000)
Fe (0.500, 0.000, 0.500)

---

Computed, not measured: a crystal of Au4Cl relaxed with PBEsol at the SCAN level of DFT.

Calculated values
E above lowest polymorph: 610.3 meV per atom
uncorrected energy: -56.123 eV/atom
formation energy without anion corrections: 3.99 eV/f.u.
D(E_F): 0.443 states/eV/atom

abc: 5.112 5.112 5.112
angles: 109.47 109.47 109.47
Sites, in units of the cell vectors:
Au (0.000, 0.000, 0.500)
Au (0.000, 0.500, 0.000)
Au (0.500, 0.000, 0.000)
Au (0.500, 0.500, 0.500)
Cl (0.000, 0.000, 0.000)

---

Computed, not measured: a crystal of Be2CrRh relaxed with PBEsol at the SCAN level of DFT.

Calculated values
E above lowest polymorph: 0.0 meV per atom
uncorrected energy: -15.536 eV/atom
D(E_F): 0.636 states/eV/atom
ΔH_f (0 K): -0.321 eV/atom

abc: 3.576 4.421 4.421
angles: 35.07 90.00 90.00
Sites, in units of the cell vectors:
Be (0.000, 0.000, 0.000)
Be (0.500, 0.140, 0.140)
Cr (0.500, 0.413, 0.413)
Rh (0.000, 0.727, 0.727)

---

Computed, not measured: a crystal of KBa2Zr relaxed with PBEsol at the SCAN level of DFT.

Calculated values
E above lowest polymorph: 0.0 meV per atom
uncorrected energy: -28.861 eV/atom
D(E_F): 1.107 states/eV/atom
ΔH_f (0 K): 0.671 eV/atom

abc: 3.722 6.461 6.822
angles: 90.00 90.04 90.00
Sites, in units of the cell vectors:
K (0.000, 0.000, 0.000)
Ba (0.499, 0.500, 0.831)
Ba (0.502, 0.000, 0.469)
Zr (0.001, 0.500, 0.351)

---

Computed, not measured: a crystal of La2TcBr relaxed with PBEsol at the SCAN level of DFT.

Calculated values
E above lowest polymorph: 0.0 meV per atom
uncorrected energy: -35.947 eV/atom
formation energy without anion corrections: -3.06 eV/f.u.
D(E_F): 0.379 states/eV/atom

abc: 3.563 3.563 8.443
angles: 96.46 96.46 75.29
Sites, in units of the cell vectors:
La (0.054, 0.054, 0.210)
La (0.946, 0.946, 0.790)
Tc (0.500, 0.500, 0.000)
Br (0.500, 0.500, 0.500)

---

Computed, not measured: a crystal of AlZnP2 relaxed with PBEsol at the SCAN level of DFT.

Calculated values
E above lowest polymorph: 420.3 meV per atom
uncorrected energy: -10.197 eV/atom
D(E_F): 0.429 states/eV/atom
ΔH_f (0 K): 0.319 eV/atom

abc: 2.964 2.964 6.741
angles: 90.00 90.00 90.00
Sites, in units of the cell vectors:
Al (0.000, 0.000, 0.000)
Zn (0.000, 0.000, 0.500)
P (0.500, 0.500, 0.242)
P (0.500, 0.500, 0.758)

---

Computed, not measured: a crystal of CdInN2O relaxed with PBEsol at the SCAN level of DFT.

Calculated values
uncorrected energy: -16.403 eV/atom
formation energy without anion corrections: 6.60 eV/f.u.
D(E_F): 0.626 states/eV/atom

abc: 4.158 4.158 4.132
angles: 90.00 90.00 90.00
Sites, in units of the cell vectors:
Cd (0.000, 0.000, 0.000)
In (0.500, 0.500, 0.500)
N (0.000, 0.500, 0.000)
N (0.500, 0.000, 0.000)
O (0.000, 0.000, 0.500)

---

Computed, not measured: a crystal of Y3NiAs relaxed with PBEsol at the SCAN level of DFT.

Calculated values
uncorrected energy: -24.014 eV/atom
D(E_F): 1.460 states/eV/atom
ΔH_f (0 K): -0.036 eV/atom

abc: 5.260 5.260 5.260
angles: 90.00 90.00 90.00
Sites, in units of the cell vectors:
Y (0.000, 0.000, 0.500)
Y (0.000, 0.500, 0.000)
Y (0.500, 0.000, 0.000)
Ni (0.500, 0.500, 0.500)
As (0.000, 0.000, 0.000)

---

Computed, not measured: a crystal of HfZnNi2F relaxed with PBEsol at the SCAN level of DFT.

Calculated values
uncorrected energy: -22.481 eV/atom
formation energy without anion corrections: -0.33 eV/f.u.
D(E_F): 0.453 states/eV/atom

abc: 4.672 4.672 3.932
angles: 90.00 90.00 90.00
Sites, in units of the cell vectors:
Hf (0.000, 0.000, 0.000)
Zn (0.500, 0.500, 0.500)
Ni (0.000, 0.500, 0.000)
Ni (0.500, 0.000, 0.000)
F (0.000, 0.000, 0.500)

---

Computed, not measured: a crystal of LiIn relaxed with PBEsol at the SCAN level of DFT.

Calculated values
uncorrected energy: -18.145 eV/atom
D(E_F): 0.327 states/eV/atom
ΔH_f (0 K): -0.257 eV/atom

abc: 3.174 3.174 4.682
angles: 90.00 90.00 120.00
Sites, in units of the cell vectors:
Li (0.000, 0.000, 0.000)
In (0.667, 0.333, 0.500)

---

Computed, not measured: a crystal of HfZrBi2 relaxed with PBEsol at the SCAN level of DFT.

Calculated values
E above lowest polymorph: 0.0 meV per atom
uncorrected energy: -62.813 eV/atom
D(E_F): 1.028 states/eV/atom
ΔH_f (0 K): -0.180 eV/atom

abc: 5.085 5.085 5.085
angles: 60.00 60.00 60.00
Sites, in units of the cell vectors:
Hf (0.000, 0.000, 0.000)
Zr (0.500, 0.500, 0.500)
Bi (0.250, 0.250, 0.250)
Bi (0.750, 0.750, 0.750)

---

Computed, not measured: a crystal of Al2CoHg relaxed with PBEsol at the SCAN level of DFT.

Calculated values
E above lowest polymorph: 151.3 meV per atom
uncorrected energy: -25.265 eV/atom
D(E_F): 0.302 states/eV/atom
ΔH_f (0 K): -0.022 eV/atom

abc: 4.503 4.503 4.885
angles: 101.11 101.11 38.09
Sites, in units of the cell vectors:
Al (0.232, 0.232, 0.210)
Al (0.768, 0.768, 0.790)
Co (0.500, 0.500, 0.000)
Hg (0.000, 0.000, 0.500)

---

Computed, not measured: a crystal of Ti2Sb2P relaxed with PBEsol at the SCAN level of DFT.

Calculated values
uncorrected energy: -23.785 eV/atom
formation energy without anion corrections: -1.94 eV/f.u.
D(E_F): 0.622 states/eV/atom

abc: 6.892 6.892 3.931
angles: 90.00 90.00 90.00
Sites, in units of the cell vectors:
Ti (0.156, 0.344, 0.000)
Ti (0.344, 0.844, 0.000)
Ti (0.656, 0.156, 0.000)
Ti (0.844, 0.656, 0.000)
Sb (0.150, 0.650, 0.500)
Sb (0.350, 0.150, 0.500)
Sb (0.650, 0.850, 0.500)
Sb (0.850, 0.350, 0.500)
P (0.000, 0.000, 0.000)
P (0.500, 0.500, 0.000)

---

Computed, not measured: a crystal of Mg2ReMo relaxed with PBEsol at the SCAN level of DFT.

Calculated values
E above lowest polymorph: 163.5 meV per atom
uncorrected energy: -28.650 eV/atom
D(E_F): 0.603 states/eV/atom
ΔH_f (0 K): 0.332 eV/atom

abc: 2.657 2.657 9.100
angles: 90.00 90.00 90.00
Sites, in units of the cell vectors:
Mg (0.000, 0.000, 0.247)
Mg (0.000, 0.000, 0.753)
Re (0.500, 0.500, 0.000)
Mo (0.500, 0.500, 0.500)

---

Computed, not measured: a crystal of CoAs relaxed with PBEsol at the SCAN level of DFT.

Calculated values
uncorrected energy: -19.010 eV/atom
D(E_F): 0.339 states/eV/atom
ΔH_f (0 K): -0.263 eV/atom

abc: 5.243 3.427 5.726
angles: 90.00 90.00 90.00
Sites, in units of the cell vectors:
Co (0.002, 0.250, 0.196)
Co (0.498, 0.750, 0.696)
Co (0.502, 0.250, 0.304)
Co (0.998, 0.750, 0.804)
As (0.198, 0.250, 0.589)
As (0.302, 0.750, 0.089)
As (0.698, 0.250, 0.911)
As (0.802, 0.750, 0.411)